Entry from the Alexandria database: CaTm6Ir5 after structural relaxation (GGA-PBE).

Structure (CIF):
```
data_CaTm6Ir5
_symmetry_space_group_name_H-M 'P 1'
_symmetry_Int_Tables_number 1
_cell_length_a 4.779
_cell_length_b 7.125
_cell_length_c 7.658
_cell_angle_alpha 90.00
_cell_angle_beta 108.25
_cell_angle_gamma 90.00
loop_
_symmetry_equiv_pos_as_xyz
'x,y,z'
loop_
_atom_site_label
_atom_site_fract_x
_atom_site_fract_y
_atom_site_fract_z
Ca1 0.000 0.000 0.000
Tm1 0.174 0.258 0.349
Tm2 0.174 0.742 0.349
Tm3 0.500 0.273 0.000
Tm4 0.500 0.727 0.000
Tm5 0.826 0.258 0.651
Tm6 0.826 0.742 0.651
Ir1 0.000 0.500 0.000
Ir2 0.329 0.500 0.660
Ir3 0.345 0.000 0.691
Ir4 0.655 0.000 0.309
Ir5 0.671 0.500 0.340
```

## Properties
- formation energy from the elements (eV per atom) = -0.704
- calculated total energy (eV per atom) = -6.80

---

Entry from the Alexandria database: CaTm2Ir after structural relaxation (GGA-PBE).

Structure (CIF):
```
data_CaTm2Ir
_symmetry_space_group_name_H-M 'P 1'
_symmetry_Int_Tables_number 1
_cell_length_a 4.092
_cell_length_b 4.092
_cell_length_c 26.266
_cell_angle_alpha 90.00
_cell_angle_beta 90.00
_cell_angle_gamma 120.00
loop_
_symmetry_equiv_pos_as_xyz
'x,y,z'
loop_
_atom_site_label
_atom_site_fract_x
_atom_site_fract_y
_atom_site_fract_z
Ca1 0.000 0.000 0.000
Ca2 0.333 0.667 0.667
Ca3 0.667 0.333 0.333
Tm1 0.000 0.000 0.550
Tm2 0.000 0.000 0.779
Tm3 0.333 0.667 0.216
Tm4 0.333 0.667 0.446
Tm5 0.667 0.333 0.113
Tm6 0.667 0.333 0.883
Ir1 0.000 0.000 0.164
Ir2 0.333 0.667 0.831
Ir3 0.667 0.333 0.498
```

## Properties
- formation energy from the elements (eV per atom) = -0.445
- energy above the lowest structure with this stoichiometry (meV/atom) = 14.2
- calculated total energy (eV per atom) = -5.40

---

Entry from the Alexandria database: CaTm2Ir after structural relaxation (GGA-PBE).

Structure (CIF):
```
data_CaTm2Ir
_symmetry_space_group_name_H-M 'P 1'
_symmetry_Int_Tables_number 1
_cell_length_a 4.025
_cell_length_b 4.025
_cell_length_c 27.673
_cell_angle_alpha 90.00
_cell_angle_beta 90.00
_cell_angle_gamma 120.00
loop_
_symmetry_equiv_pos_as_xyz
'x,y,z'
loop_
_atom_site_label
_atom_site_fract_x
_atom_site_fract_y
_atom_site_fract_z
Ca1 0.000 0.000 0.000
Ca2 0.333 0.667 0.667
Ca3 0.667 0.333 0.333
Tm1 0.000 0.000 0.218
Tm2 0.000 0.000 0.782
Tm3 0.333 0.667 0.449
Tm4 0.333 0.667 0.885
Tm5 0.667 0.333 0.115
Tm6 0.667 0.333 0.551
Ir1 0.000 0.000 0.500
Ir2 0.333 0.667 0.167
Ir3 0.667 0.333 0.833
```

## Properties
- formation energy from the elements (eV per atom) = -0.424
- energy above the lowest structure with this stoichiometry (meV/atom) = 35.3
- calculated total energy (eV per atom) = -5.38

---

Entry from the Alexandria database: CaTm5Ir6 after structural relaxation (GGA-PBE).

Structure (CIF):
```
data_CaTm5Ir6
_symmetry_space_group_name_H-M 'P 1'
_symmetry_Int_Tables_number 1
_cell_length_a 8.290
_cell_length_b 8.290
_cell_length_c 4.830
_cell_angle_alpha 106.10
_cell_angle_beta 106.10
_cell_angle_gamma 47.19
loop_
_symmetry_equiv_pos_as_xyz
'x,y,z'
loop_
_atom_site_label
_atom_site_fract_x
_atom_site_fract_y
_atom_site_fract_z
Ca1 0.000 0.000 0.000
Tm1 0.164 0.164 0.664
Tm2 0.333 0.333 0.333
Tm3 0.500 0.500 0.000
Tm4 0.667 0.667 0.667
Tm5 0.836 0.836 0.336
Ir1 0.085 0.575 0.830
Ir2 0.260 0.740 0.500
Ir3 0.425 0.915 0.170
Ir4 0.575 0.085 0.830
Ir5 0.740 0.260 0.500
Ir6 0.915 0.425 0.170
```

## Properties
- formation energy from the elements (eV per atom) = -0.802
- calculated total energy (eV per atom) = -7.26

---

Entry from the Alexandria database: CaTmIr after structural relaxation (GGA-PBE).

Structure (CIF):
```
data_CaTmIr
_symmetry_space_group_name_H-M 'P 1'
_symmetry_Int_Tables_number 1
_cell_length_a 3.416
_cell_length_b 3.416
_cell_length_c 13.091
_cell_angle_alpha 90.00
_cell_angle_beta 90.00
_cell_angle_gamma 90.00
loop_
_symmetry_equiv_pos_as_xyz
'x,y,z'
loop_
_atom_site_label
_atom_site_fract_x
_atom_site_fract_y
_atom_site_fract_z
Ca1 0.000 0.000 0.000
Ca2 0.500 0.500 0.500
Tm1 0.000 0.000 0.255
Tm2 0.500 0.500 0.755
Ir1 0.000 0.000 0.643
Ir2 0.500 0.500 0.143
```

## Properties
- formation energy from the elements (eV per atom) = -0.513
- energy above the lowest structure with this stoichiometry (meV/atom) = 74.1
- calculated total energy (eV per atom) = -5.62

---

Entry from the Alexandria database: CaTm2Ir after structural relaxation (GGA-PBE).

Structure (CIF):
```
data_CaTm2Ir
_symmetry_space_group_name_H-M 'P 1'
_symmetry_Int_Tables_number 1
_cell_length_a 3.455
_cell_length_b 3.455
_cell_length_c 9.350
_cell_angle_alpha 90.00
_cell_angle_beta 90.00
_cell_angle_gamma 90.00
loop_
_symmetry_equiv_pos_as_xyz
'x,y,z'
loop_
_atom_site_label
_atom_site_fract_x
_atom_site_fract_y
_atom_site_fract_z
Ca1 0.000 0.000 0.000
Tm1 0.500 0.500 0.329
Tm2 0.500 0.500 0.671
Ir1 0.000 0.000 0.500
```

## Properties
- formation energy from the elements (eV per atom) = -0.459
- energy above the lowest structure with this stoichiometry (meV/atom) = 0.0
- calculated total energy (eV per atom) = -5.41

---

Entry from the Alexandria database: CaTmIr after structural relaxation (GGA-PBE).

Structure (CIF):
```
data_CaTmIr
_symmetry_space_group_name_H-M 'P 1'
_symmetry_Int_Tables_number 1
_cell_length_a 8.723
_cell_length_b 8.723
_cell_length_c 8.723
_cell_angle_alpha 119.41
_cell_angle_beta 83.21
_cell_angle_gamma 128.84
loop_
_symmetry_equiv_pos_as_xyz
'x,y,z'
loop_
_atom_site_label
_atom_site_fract_x
_atom_site_fract_y
_atom_site_fract_z
Ca1 0.000 0.250 0.250
Ca2 0.000 0.750 0.750
Ca3 0.413 0.369 0.544
Ca4 0.413 0.869 0.043
Ca5 0.826 0.369 0.957
Ca6 0.826 0.869 0.456
Tm1 0.154 0.283 0.870
Tm2 0.154 0.784 0.371
Tm3 0.413 0.284 0.130
Tm4 0.413 0.783 0.629
Tm5 0.672 0.172 0.500
Tm6 0.672 0.672 0.000
Ir1 0.080 0.413 0.667
Ir2 0.080 0.913 0.167
Ir3 0.413 0.163 0.750
Ir4 0.413 0.663 0.250
Ir5 0.746 0.413 0.333
Ir6 0.746 0.913 0.833
```

## Properties
- formation energy from the elements (eV per atom) = -0.587
- energy above the lowest structure with this stoichiometry (meV/atom) = 0.0
- calculated total energy (eV per atom) = -5.70

---

Entry from the Alexandria database: CaUIr4 after structural relaxation (GGA-PBE).

Structure (CIF):
```
data_CaUIr4
_symmetry_space_group_name_H-M 'P 1'
_symmetry_Int_Tables_number 1
_cell_length_a 5.343
_cell_length_b 5.343
_cell_length_c 5.343
_cell_angle_alpha 60.00
_cell_angle_beta 60.00
_cell_angle_gamma 60.00
loop_
_symmetry_equiv_pos_as_xyz
'x,y,z'
loop_
_atom_site_label
_atom_site_fract_x
_atom_site_fract_y
_atom_site_fract_z
Ca1 0.000 0.000 0.000
U1 0.250 0.250 0.250
Ir1 0.124 0.625 0.625
Ir2 0.625 0.124 0.625
Ir3 0.625 0.625 0.124
Ir4 0.625 0.625 0.625
```

## Properties
- formation energy from the elements (eV per atom) = -0.499
- calculated total energy (eV per atom) = -8.62

---

Entry from the Alexandria database: Ca2UIr2 after structural relaxation (GGA-PBE).

Structure (CIF):
```
data_Ca2UIr2
_symmetry_space_group_name_H-M 'P 1'
_symmetry_Int_Tables_number 1
_cell_length_a 6.342
_cell_length_b 6.342
_cell_length_c 7.214
_cell_angle_alpha 97.83
_cell_angle_beta 97.83
_cell_angle_gamma 59.92
loop_
_symmetry_equiv_pos_as_xyz
'x,y,z'
loop_
_atom_site_label
_atom_site_fract_x
_atom_site_fract_y
_atom_site_fract_z
Ca1 0.036 0.265 0.141
Ca2 0.265 0.036 0.641
Ca3 0.735 0.964 0.359
Ca4 0.964 0.735 0.859
U1 0.432 0.568 0.250
U2 0.568 0.432 0.750
Ir1 0.206 0.499 0.488
Ir2 0.499 0.206 0.988
Ir3 0.501 0.794 0.012
Ir4 0.794 0.501 0.512
```

## Properties
- formation energy from the elements (eV per atom) = -0.432
- calculated total energy (eV per atom) = -7.03

---

Entry from the Alexandria database: Ca5UIr4 after structural relaxation (GGA-PBE).

Structure (CIF):
```
data_Ca5UIr4
_symmetry_space_group_name_H-M 'P 1'
_symmetry_Int_Tables_number 1
_cell_length_a 8.256
_cell_length_b 8.256
_cell_length_c 7.220
_cell_angle_alpha 103.85
_cell_angle_beta 103.85
_cell_angle_gamma 32.03
loop_
_symmetry_equiv_pos_as_xyz
'x,y,z'
loop_
_atom_site_label
_atom_site_fract_x
_atom_site_fract_y
_atom_site_fract_z
Ca1 0.000 0.000 0.000
Ca2 0.328 0.328 0.449
Ca3 0.334 0.334 0.950
Ca4 0.666 0.666 0.050
Ca5 0.672 0.672 0.551
U1 0.000 0.000 0.500
Ir1 0.137 0.137 0.767
Ir2 0.495 0.495 0.285
Ir3 0.505 0.505 0.715
Ir4 0.863 0.863 0.233
```

## Properties
- formation energy from the elements (eV per atom) = -0.379
- calculated total energy (eV per atom) = -6.05